The following is a PBE calculation of Li2YIr after structural relaxation, from the Open Quantum Materials Database.

a b c (Å): 4.6497 4.6497 4.6497
angles (deg): 60.00 60.00 60.00
Fractional coordinates of all 4 atoms:
Ir: 0.2500 0.2500 0.2500
Y: 0.5000 0.5000 0.5000
Li: 0.0000 0.0000 0.0000
Li: 0.7500 0.7500 0.7500

V (Å³ per atom): 17.771
Theoretical density (Mg/m³): 6.9
E_tot (eV per atom): -5.077
Space-group type: F-43m, No. 216